Entry 1:
# Pr4IrAuSe2 PBE optimized geometry
# **Calculated total energy**: -5.99 eV per atom
data_Pr4IrAuSe2
_cell_length_a 7.293
_cell_length_b 4.191
_cell_length_c 7.755
_cell_angle_alpha 90.00
_cell_angle_beta 107.58
_cell_angle_gamma 90.00
_space_group_name_H-M_alt 'P 1'
_space_group_IT_number 1
_space_group_name_Hall 'P 1'
loop_
_atom_site_label
_atom_site_type_symbol
_atom_site_fract_x
_atom_site_fract_y
_atom_site_fract_z
Pr1 Pr 0.233 0.000 0.232
Pr2 Pr 0.237 0.500 0.763
Pr3 Pr 0.763 0.500 0.237
Pr4 Pr 0.767 0.000 0.768
Ir1 Ir 0.000 0.500 0.000
Au1 Au 0.500 0.000 0.000
Se1 Se 0.000 0.000 0.500
Se2 Se 0.500 0.500 0.500

=====

Entry 2:
# Pr2Si4Ir3Au PBE optimized geometry
# **Calculated total energy**: -6.99 eV per atom
data_Pr2Si4Ir3Au
_cell_length_a 4.262
_cell_length_b 4.262
_cell_length_c 9.967
_cell_angle_alpha 90.00
_cell_angle_beta 90.00
_cell_angle_gamma 90.00
_space_group_name_H-M_alt 'P 1'
_space_group_IT_number 1
_space_group_name_Hall 'P 1'
loop_
_atom_site_label
_atom_site_type_symbol
_atom_site_fract_x
_atom_site_fract_y
_atom_site_fract_z
Pr1 Pr 0.000 0.500 0.239
Pr2 Pr 0.500 0.000 0.761
Si1 Si 0.000 0.000 0.000
Si2 Si 0.000 0.500 0.639
Si3 Si 0.500 0.000 0.361
Si4 Si 0.500 0.500 0.000
Ir1 Ir 0.000 0.500 0.879
Ir2 Ir 0.500 0.000 0.121
Ir3 Ir 0.500 0.500 0.500
Au1 Au 0.000 0.000 0.500

=====

Entry 3:
# PrSmIrAu PBE optimized geometry
# **Energy above the lowest structure with this stoichiometry**: 48 meV/atom
# **ΔH_f (0 K)**: -0.67 eV per atom
data_PrSmIrAu
_cell_length_a 5.119
_cell_length_b 5.119
_cell_length_c 5.119
_cell_angle_alpha 60.00
_cell_angle_beta 60.00
_cell_angle_gamma 60.00
_space_group_name_H-M_alt 'P 1'
_space_group_IT_number 1
_space_group_name_Hall 'P 1'
loop_
_atom_site_label
_atom_site_type_symbol
_atom_site_fract_x
_atom_site_fract_y
_atom_site_fract_z
Pr1 Pr 0.000 0.000 0.000
Sm1 Sm 0.500 0.500 0.500
Ir1 Ir 0.750 0.750 0.750
Au1 Au 0.250 0.250 0.250